! LiPr4Nd3Se8 PBE relaxed; values from VASP
! - Fermi-level density of states (states/eV/cell) = 8.4
! - energy relative to the elements, uncorrected (eV/atom) = -1.80
&SYSTEM
  ibrav = 0, nat = 16, ntyp = 4
/
ATOMIC_SPECIES
Li 6.94 Li.upf
Pr 140.91 Pr.upf
Nd 144.24 Nd.upf
Se 78.96 Se.upf
ATOMIC_POSITIONS angstrom
Li 0.000 0.000 0.000
Pr -4.226 0.000 10.362
Pr -2.113 1.220 3.454
Pr 2.113 1.220 3.454
Pr 0.000 0.000 10.362
Nd -2.113 -1.220 6.908
Nd -2.113 1.220 13.816
Nd 0.000 2.440 6.908
Se 0.000 -2.509 8.567
Se -2.173 1.255 8.567
Se -2.173 -1.255 12.157
Se 0.000 0.000 5.201
Se 0.000 0.000 15.523
Se 2.173 1.255 8.567
Se 2.173 -1.255 12.157
Se 0.000 2.509 12.157
CELL_PARAMETERS angstrom
4.226 2.440 6.908
-4.226 2.440 6.908
0.000 -4.880 6.908



! GeHRu3 PBE relaxed; values from VASP
! - Fermi-level density of states (states/eV/cell) = 6.1
! - DFT total energy (eV per atom) = -7.01
&SYSTEM
  ibrav = 0, nat = 5, ntyp = 3
/
ATOMIC_SPECIES
Ge 72.64 Ge.upf
H 1.01 H.upf
Ru 101.07 Ru.upf
ATOMIC_POSITIONS angstrom
Ge 0.000 0.000 0.000
H 1.956 1.956 1.956
Ru 0.000 1.956 1.956
Ru 1.956 0.000 1.956
Ru 1.956 1.956 0.000
CELL_PARAMETERS angstrom
3.911 0.000 0.000
0.000 3.911 0.000
0.000 0.000 3.911



! CaSm2Rh PBE relaxed; values from VASP
! - Fermi-level density of states (states/eV/cell) = 17.3
! - DFT total energy (eV per atom) = -5.08
&SYSTEM
  ibrav = 0, nat = 16, ntyp = 3
/
ATOMIC_SPECIES
Ca 40.08 Ca.upf
Sm 150.36 Sm.upf
Rh 102.91 Rh.upf
ATOMIC_POSITIONS angstrom
Ca 0.000 0.899 2.295
Ca 0.000 11.630 6.886
Ca 2.017 5.366 6.886
Ca 2.017 7.163 2.295
Sm 0.000 4.449 0.578
Sm 0.000 4.449 4.013
Sm 0.000 8.079 5.169
Sm 0.000 8.079 8.603
Sm 2.017 1.815 5.169
Sm 2.017 1.815 8.603
Sm 2.017 10.714 0.578
Sm 2.017 10.714 4.013
Rh 0.000 3.024 6.886
Rh 0.000 9.504 2.295
Rh 2.017 3.240 2.295
Rh 2.017 9.289 6.886
CELL_PARAMETERS angstrom
4.033 0.000 0.000
0.000 12.529 0.000
0.000 0.000 9.182